(1)
Below is an optimized crystal structure of Ho3UFe8, with properties calculated at the PBE level.

ΔE_f: -0.066 eV/atom
size of the total moment: 12.1 μB/f.u.
space-group type: R3m (160)
density of states at the Fermi level: 16.09 states/eV per cell

POSCAR file:
```
Ho3UFe8
1.0
2.562 1.479 8.245
-2.562 1.479 8.245
0.000 -2.958 8.245
Ho U Fe
3 1 8
direct
0.000 0.000 0.000
0.126 0.126 0.126
0.625 0.625 0.625
0.496 0.496 0.496
0.062 0.062 0.561
0.062 0.561 0.062
0.065 0.563 0.563
0.313 0.313 0.313
0.561 0.062 0.062
0.563 0.065 0.563
0.563 0.563 0.065
0.813 0.813 0.813
```

(2)
Below is an optimized crystal structure of HoU2Fe3, with properties calculated at the PBE level.

ΔE_f: -0.045 eV/atom
size of the total moment: 1.0 μB/f.u.
space-group type: Cmcm (63)
density of states at the Fermi level: 14.74 states/eV per cell

POSCAR file:
```
HoU2Fe3
1.0
4.876 -2.813 0.000
4.876 2.813 0.000
0.000 0.000 7.984
Ho U Fe
2 4 6
direct
0.001 0.999 0.750
0.999 0.001 0.250
0.333 0.333 0.000
0.333 0.333 0.500
0.667 0.667 0.000
0.667 0.667 0.500
0.001 0.499 0.750
0.499 0.001 0.250
0.499 0.501 0.250
0.501 0.499 0.750
0.501 0.999 0.750
0.999 0.501 0.250
```

(3)
Below is an optimized crystal structure of HoVFe4, with properties calculated at the PBE level.

ΔE_f: -0.031 eV/atom
size of the total moment: 5.7 μB/f.u.
space-group type: F-43m (216)
density of states at the Fermi level: 4.27 states/eV per cell

POSCAR file:
```
HoVFe4
1.0
0.000 3.494 3.494
3.494 0.000 3.494
3.494 3.494 0.000
Ho V Fe
1 1 4
direct
0.000 0.000 0.000
0.250 0.250 0.250
0.127 0.624 0.624
0.624 0.127 0.624
0.624 0.624 0.127
0.624 0.624 0.624
```

(4)
Below is an optimized crystal structure of HoVFe, with properties calculated at the PBE level.

ΔE_f: 0.069 eV/atom
size of the total moment: 0.7 μB/f.u.
space-group type: R-3m (166)
density of states at the Fermi level: 27.07 states/eV per cell

POSCAR file:
```
HoVFe
1.0
2.657 1.534 12.464
-2.657 1.534 12.464
0.000 -3.068 12.464
Ho V Fe
6 6 6
direct
0.046 0.046 0.046
0.180 0.180 0.180
0.260 0.260 0.260
0.740 0.740 0.740
0.820 0.820 0.820
0.954 0.954 0.954
0.000 0.500 0.500
0.397 0.397 0.397
0.500 0.000 0.500
0.500 0.500 0.000
0.500 0.500 0.500
0.603 0.603 0.603
0.213 0.723 0.723
0.277 0.277 0.787
0.277 0.787 0.277
0.723 0.213 0.723
0.723 0.723 0.213
0.787 0.277 0.277
```

(5)
Below is an optimized crystal structure of HoV2Fe, with properties calculated at the PBE level.

ΔE_f: 0.301 eV/atom
size of the total moment: 0.0 μB/f.u.
space-group type: R-3m (166)
density of states at the Fermi level: 6.11 states/eV per cell

POSCAR file:
```
HoV2Fe
1.0
1.976 1.141 5.312
-1.976 1.141 5.312
0.000 -2.282 5.312
Ho V Fe
1 2 1
direct
0.000 0.000 0.000
0.204 0.204 0.204
0.796 0.796 0.796
0.500 0.500 0.500
```

(6)
Below is an optimized crystal structure of HoVFe10, with properties calculated at the PBE level.

ΔE_f: 0.078 eV/atom
size of the total moment: 16.4 μB/f.u.
space-group type: Pmmm (47)
density of states at the Fermi level: 12.37 states/eV per cell

POSCAR file:
```
HoVFe10
1.0
4.008 0.000 0.000
0.000 4.797 0.000
0.000 0.000 8.261
Ho V Fe
1 1 10
direct
0.000 0.000 0.000
0.000 0.500 0.500
0.000 0.000 0.346
0.000 0.000 0.654
0.000 0.500 0.189
0.000 0.500 0.811
0.500 0.000 0.500
0.500 0.252 0.259
0.500 0.252 0.741
0.500 0.500 0.000
0.500 0.748 0.259
0.500 0.748 0.741
```

(7)
Below is an optimized crystal structure of HoFe4W, with properties calculated at the PBE level.

ΔE_f: 0.093 eV/atom
size of the total moment: 6.3 μB/f.u.
space-group type: F-43m (216)
density of states at the Fermi level: 6.19 states/eV per cell

POSCAR file:
```
HoFe4W
1.0
0.000 3.482 3.482
3.482 0.000 3.482
3.482 3.482 0.000
Ho Fe W
1 4 1
direct
0.000 0.000 0.000
0.128 0.624 0.624
0.624 0.128 0.624
0.624 0.624 0.128
0.624 0.624 0.624
0.250 0.250 0.250
```

(8)
Below is an optimized crystal structure of HoFeW, with properties calculated at the PBE level.

ΔE_f: 0.624 eV/atom
size of the total moment: 0.0 μB/f.u.
space-group type: P4_12_12 (92)
density of states at the Fermi level: 8.82 states/eV per cell

POSCAR file:
```
HoFeW
1.0
6.455 0.000 0.000
0.000 6.455 0.000
0.000 0.000 5.955
Ho Fe W
4 4 4
direct
0.249 0.249 0.000
0.251 0.749 0.250
0.749 0.251 0.750
0.751 0.751 0.500
0.050 0.950 0.750
0.450 0.450 0.500
0.550 0.550 0.000
0.950 0.050 0.250
0.195 0.195 0.500
0.305 0.695 0.750
0.695 0.305 0.250
0.805 0.805 0.000
```

(9)
Below is an optimized crystal structure of YHo2Fe, with properties calculated at the PBE level.

ΔE_f: -0.011 eV/atom
size of the total moment: 0.0 μB/f.u.
space-group type: Pnma (62)
density of states at the Fermi level: 14.42 states/eV per cell
energy relative to the lowest polymorph listed for this composition: 0 kJ/mol of formula units

POSCAR file:
```
YHo2Fe
1.0
7.069 0.000 0.000
0.000 9.124 0.000
0.000 0.000 6.238
Y Ho Fe
4 8 4
direct
0.047 0.250 0.135
0.453 0.750 0.635
0.547 0.250 0.365
0.953 0.750 0.865
0.174 0.067 0.671
0.174 0.433 0.671
0.326 0.567 0.171
0.326 0.933 0.171
0.674 0.067 0.829
0.674 0.433 0.829
0.826 0.567 0.329
0.826 0.933 0.329
0.110 0.750 0.459
0.390 0.250 0.959
0.610 0.750 0.041
0.890 0.250 0.541
```

(10)
Below is an optimized crystal structure of YHo6Fe2, with properties calculated at the PBE level.

ΔE_f: 0.039 eV/atom
size of the total moment: 0.5 μB/f.u.
space-group type: Immm (71)
density of states at the Fermi level: 19.49 states/eV per cell

POSCAR file:
```
YHo6Fe2
1.0
-4.776 4.944 4.982
4.776 -4.944 4.982
4.776 4.944 -4.982
Y Ho Fe
2 12 4
direct
0.000 0.000 0.000
0.500 0.500 0.000
0.024 0.241 0.782
0.187 0.284 0.471
0.187 0.716 0.903
0.322 0.004 0.682
0.322 0.639 0.318
0.459 0.241 0.218
0.541 0.759 0.782
0.678 0.361 0.682
0.678 0.996 0.318
0.813 0.284 0.097
0.813 0.716 0.529
0.976 0.759 0.218
0.109 0.609 0.500
0.306 0.000 0.306
0.694 0.000 0.694
0.891 0.391 0.500
```

(11)
Below is an optimized crystal structure of Y3HoFe8, with properties calculated at the PBE level.

ΔE_f: -0.073 eV/atom
size of the total moment: 13.1 μB/f.u.
space-group type: R3m (160)
density of states at the Fermi level: 16.70 states/eV per cell

POSCAR file:
```
Y3HoFe8
1.0
2.570 1.484 8.380
-2.570 1.484 8.380
0.000 -2.968 8.380
Y Ho Fe
3 1 8
direct
0.000 0.000 0.000
0.125 0.125 0.125
0.625 0.625 0.625
0.500 0.500 0.500
0.062 0.062 0.562
0.062 0.562 0.062
0.063 0.562 0.562
0.312 0.312 0.312
0.562 0.062 0.062
0.562 0.063 0.562
0.562 0.562 0.063
0.813 0.813 0.813
```

(12)
Below is an optimized crystal structure of YHo3Fe8, with properties calculated at the PBE level.

ΔE_f: -0.091 eV/atom
size of the total moment: 13.2 μB/f.u.
space-group type: R3m (160)
density of states at the Fermi level: 16.96 states/eV per cell

POSCAR file:
```
YHo3Fe8
1.0
2.562 1.479 8.350
-2.562 1.479 8.350
0.000 -2.959 8.350
Y Ho Fe
1 3 8
direct
0.000 0.000 0.000
0.125 0.125 0.125
0.500 0.500 0.500
0.625 0.625 0.625
0.063 0.063 0.562
0.063 0.562 0.063
0.063 0.563 0.563
0.312 0.312 0.312
0.562 0.063 0.063
0.563 0.063 0.563
0.563 0.563 0.063
0.813 0.813 0.813
```

(13)
Below is an optimized crystal structure of YHo2Fe, with properties calculated at the PBE level.

ΔE_f: 0.081 eV/atom
size of the total moment: 0.0 μB/f.u.
space-group type: P4/mmm (123)
density of states at the Fermi level: 3.75 states/eV per cell
energy relative to the lowest polymorph listed for this composition: 35 kJ/mol of formula units

POSCAR file:
```
YHo2Fe
1.0
3.339 0.000 0.000
0.000 3.339 0.000
0.000 0.000 9.029
Y Ho Fe
1 2 1
direct
0.000 0.000 0.000
0.500 0.500 0.322
0.500 0.500 0.678
0.000 0.000 0.500
```

(14)
Below is an optimized crystal structure of YHoFe, with properties calculated at the PBE level.

ΔE_f: 0.054 eV/atom
size of the total moment: 0.8 μB/f.u.
space-group type: Cmce (64)
density of states at the Fermi level: 13.71 states/eV per cell

POSCAR file:
```
YHoFe
1.0
3.395 -5.954 0.000
3.395 5.954 0.000
0.000 0.000 7.362
Y Ho Fe
4 4 4
direct
0.197 0.803 0.888
0.303 0.697 0.388
0.697 0.303 0.612
0.803 0.197 0.112
0.205 0.295 0.750
0.295 0.205 0.250
0.705 0.795 0.750
0.795 0.705 0.250
0.091 0.909 0.544
0.409 0.591 0.044
0.591 0.409 0.956
0.909 0.091 0.456
```

(15)
Below is an optimized crystal structure of YHoFe, with properties calculated at the PBE level.

ΔE_f: 0.053 eV/atom
size of the total moment: 0.0 μB/f.u.
space-group type: I4mm (107)
density of states at the Fermi level: 1.72 states/eV per cell

POSCAR file:
```
YHoFe
1.0
-1.664 1.664 6.399
1.664 -1.664 6.399
1.664 1.664 -6.399
Y Ho Fe
1 1 1
direct
0.000 0.000 0.000
0.251 0.251 0.000
0.628 0.628 0.000
```

(16)
Below is an optimized crystal structure of Y2Ho5Fe2, with properties calculated at the PBE level.

ΔE_f: 0.042 eV/atom
size of the total moment: 1.2 μB/f.u.
space-group type: Cmce (64)
density of states at the Fermi level: 24.74 states/eV per cell

POSCAR file:
```
Y2Ho5Fe2
1.0
9.907 -3.502 0.000
9.907 3.502 0.000
0.000 0.000 6.959
Y Ho Fe
4 10 4
direct
0.233 0.233 0.000
0.267 0.267 0.500
0.733 0.733 0.500
0.767 0.767 0.000
0.000 0.000 0.000
0.074 0.711 0.679
0.211 0.574 0.179
0.289 0.926 0.679
0.426 0.789 0.179
0.500 0.500 0.500
0.574 0.211 0.821
0.711 0.074 0.321
0.789 0.426 0.821
0.926 0.289 0.321
0.110 0.890 0.394
0.390 0.610 0.894
0.610 0.390 0.106
0.890 0.110 0.606
```

(17)
Below is an optimized crystal structure of YHoFe10, with properties calculated at the PBE level.

ΔE_f: -0.051 eV/atom
size of the total moment: 19.4 μB/f.u.
space-group type: Pmmm (47)
density of states at the Fermi level: 10.81 states/eV per cell

POSCAR file:
```
YHoFe10
1.0
3.944 0.000 0.000
0.000 4.999 0.000
0.000 0.000 8.625
Y Ho Fe
1 1 10
direct
0.000 0.000 0.000
0.000 0.500 0.500
0.000 0.000 0.335
0.000 0.000 0.665
0.000 0.500 0.167
0.000 0.500 0.833
0.500 0.000 0.500
0.500 0.250 0.251
0.500 0.250 0.749
0.500 0.500 0.000
0.500 0.750 0.251
0.500 0.750 0.749
```

(18)
Below is an optimized crystal structure of YHo2Fe, with properties calculated at the PBE level.

ΔE_f: 0.385 eV/atom
size of the total moment: 1.4 μB/f.u.
space-group type: R-3m (166)
density of states at the Fermi level: 8.80 states/eV per cell
energy relative to the lowest polymorph listed for this composition: 153 kJ/mol of formula units

POSCAR file:
```
YHo2Fe
1.0
2.619 1.512 4.225
-2.619 1.512 4.225
0.000 -3.024 4.225
Y Ho Fe
1 2 1
direct
0.000 0.000 0.000
0.252 0.252 0.252
0.748 0.748 0.748
0.500 0.500 0.500
```

(19)
Below is an optimized crystal structure of YHoZnFe, with properties calculated at the PBE level.

ΔE_f: -0.076 eV/atom
size of the total moment: 1.2 μB/f.u.
space-group type: F-43m (216)
density of states at the Fermi level: 5.63 states/eV per cell

POSCAR file:
```
YHoZnFe
1.0
0.000 3.464 3.464
3.464 0.000 3.464
3.464 3.464 0.000
Y Ho Zn Fe
1 1 1 1
direct
0.000 0.000 0.000
0.500 0.500 0.500
0.250 0.250 0.250
0.750 0.750 0.750
```

(20)
Below is an optimized crystal structure of HoZn11Fe, with properties calculated at the PBE level.

ΔE_f: -0.138 eV/atom
size of the total moment: 2.3 μB/f.u.
space-group type: C2/m (12)
density of states at the Fermi level: 6.74 states/eV per cell

POSCAR file:
```
HoZn11Fe
1.0
2.586 -6.248 0.000
2.586 6.248 0.000
-2.567 0.000 6.220
Ho Zn Fe
1 11 1
direct
0.000 0.000 0.000
0.000 0.500 0.000
0.012 0.668 0.644
0.277 0.493 0.781
0.332 0.988 0.356
0.493 0.277 0.781
0.500 0.000 0.000
0.500 0.500 0.500
0.507 0.723 0.219
0.668 0.012 0.644
0.723 0.507 0.219
0.988 0.332 0.356
0.000 0.000 0.500
```